No. 1
# La4CoCu

A relaxed La4CoCu crystal (PBEsol, the Alexandria database).

Cell lengths 6.129, 6.129, 6.129 Å; angles 60.00, 60.00, 60.00 degrees
Fractional coordinates of all 6 atoms:
1 La 0.125 0.125 0.125
2 La 0.125 0.125 0.624
3 La 0.125 0.624 0.125
4 La 0.624 0.125 0.125
5 Co 0.500 0.500 0.500
6 Cu 0.750 0.750 0.750

VASP energy in eV per atom: -4.65
Size of the total moment in μB per atom: 0.2900
Energy of formation in kJ/mol of formula units: 535

=====

No. 2
# Zr2ReTc

A relaxed Zr2ReTc crystal (PBEsol, the Alexandria database).

Cell lengths 3.252, 3.252, 6.511 Å; angles 90.00, 90.00, 90.00 degrees
Fractional coordinates of all 4 atoms:
1 Zr 0.000 0.000 0.249
2 Zr 0.000 0.000 0.751
3 Re 0.500 0.500 0.500
4 Tc 0.500 0.500 0.000

VASP energy in eV per atom: -10.98
Size of the total moment in μB per atom: 0.0001
Energy of formation in kJ/mol of formula units: -109

=====

No. 3
# Ti2TlRu

A relaxed Ti2TlRu crystal (PBEsol, the Alexandria database).

Cell lengths 6.413, 6.413, 6.413 Å; angles 90.00, 90.00, 90.00 degrees
Fractional coordinates of all 16 atoms:
1 Ti 0.250 0.250 0.250
2 Ti 0.250 0.250 0.750
3 Ti 0.250 0.750 0.250
4 Ti 0.250 0.750 0.750
5 Ti 0.750 0.250 0.250
6 Ti 0.750 0.250 0.750
7 Ti 0.750 0.750 0.250
8 Ti 0.750 0.750 0.750
9 Tl 0.000 0.000 0.000
10 Tl 0.000 0.500 0.500
11 Tl 0.500 0.000 0.500
12 Tl 0.500 0.500 0.000
13 Ru 0.000 0.000 0.500
14 Ru 0.000 0.500 0.000
15 Ru 0.500 0.000 0.000
16 Ru 0.500 0.500 0.500

VASP energy in eV per atom: -7.41
Size of the total moment in μB per atom: 0.0002
Energy of formation in kJ/mol of formula units: -19

=====

No. 4
# Nd3Sn7

A relaxed Nd3Sn7 crystal (PBEsol, the Alexandria database).

Cell lengths 12.917, 12.917, 4.574 Å; angles 90.00, 90.00, 159.90 degrees
Fractional coordinates of all 10 atoms:
1 Nd 0.000 0.000 0.000
2 Nd 0.186 0.814 0.000
3 Nd 0.814 0.186 0.000
4 Sn 0.096 0.904 0.500
5 Sn 0.290 0.710 0.500
6 Sn 0.404 0.596 0.000
7 Sn 0.500 0.500 0.500
8 Sn 0.596 0.404 0.000
9 Sn 0.710 0.290 0.500
10 Sn 0.904 0.096 0.500

VASP energy in eV per atom: -5.19
Size of the total moment in μB per atom: 0.0000
Energy of formation in kJ/mol of formula units: -633

=====

No. 5
# Ca2LaRe

A relaxed Ca2LaRe crystal (PBEsol, the Alexandria database).

Cell lengths 4.544, 4.544, 9.679 Å; angles 90.00, 90.00, 90.00 degrees
Fractional coordinates of all 8 atoms:
1 Ca 0.000 0.500 0.250
2 Ca 0.000 0.500 0.750
3 Ca 0.500 0.000 0.250
4 Ca 0.500 0.000 0.750
5 La 0.000 0.000 0.000
6 La 0.500 0.500 0.500
7 Re 0.000 0.000 0.500
8 Re 0.500 0.500 0.000

VASP energy in eV per atom: -5.09
Size of the total moment in μB per atom: 0.0002
Energy of formation in kJ/mol of formula units: 249

=====

No. 6
# Li2CuNi

A relaxed Li2CuNi crystal (PBEsol, the Alexandria database).

Cell lengths 8.440, 2.468, 4.561 Å; angles 90.00, 97.79, 90.00 degrees
Fractional coordinates of all 8 atoms:
1 Li 0.000 0.000 0.000
2 Li 0.237 0.000 0.744
3 Li 0.500 0.500 0.000
4 Li 0.737 0.500 0.744
5 Cu 0.487 0.000 0.471
6 Cu 0.987 0.500 0.471
7 Ni 0.249 0.500 0.266
8 Ni 0.749 0.000 0.266

VASP energy in eV per atom: -3.57
Size of the total moment in μB per atom: 0.0001
Energy of formation in kJ/mol of formula units: 16

=====

No. 7
# BaTePd3

A relaxed BaTePd3 crystal (PBEsol, the Alexandria database).

Cell lengths 5.015, 5.015, 5.015 Å; angles 90.00, 90.00, 90.00 degrees
Fractional coordinates of all 5 atoms:
1 Ba 0.000 0.000 0.000
2 Te 0.500 0.500 0.500
3 Pd 0.000 0.500 0.500
4 Pd 0.500 0.000 0.500
5 Pd 0.500 0.500 0.000

Raw formation energy in kJ/mol of atoms: -40
VASP energy in eV per atom: -5.12
Size of the total moment in μB per atom: 0.0000

=====

No. 8
# Bi2PdN

A relaxed Bi2PdN crystal (PBEsol, the Alexandria database).

Cell lengths 5.883, 5.883, 10.810 Å; angles 90.00, 90.00, 90.00 degrees
Fractional coordinates of all 16 atoms:
1 Bi 0.204 0.250 0.125
2 Bi 0.250 0.704 0.375
3 Bi 0.250 0.796 0.875
4 Bi 0.296 0.250 0.625
5 Bi 0.704 0.750 0.625
6 Bi 0.750 0.204 0.875
7 Bi 0.750 0.296 0.375
8 Bi 0.796 0.750 0.125
9 Pd 0.000 0.000 0.500
10 Pd 0.000 0.500 0.750
11 Pd 0.500 0.000 0.250
12 Pd 0.500 0.500 0.000
13 N 0.000 0.000 0.000
14 N 0.000 0.500 0.250
15 N 0.500 0.000 0.750
16 N 0.500 0.500 0.500

Raw formation energy in kJ/mol of atoms: 36
VASP energy in eV per atom: -5.40
Size of the total moment in μB per atom: 0.0000

=====

No. 9
# LiSnF2

A relaxed LiSnF2 crystal (PBEsol, the Alexandria database).

Cell lengths 3.211, 3.211, 22.062 Å; angles 90.00, 90.00, 120.00 degrees
Fractional coordinates of all 12 atoms:
1 Li 0.000 0.000 0.000
2 Li 0.333 0.667 0.667
3 Li 0.667 0.333 0.333
4 Sn 0.000 0.000 0.500
5 Sn 0.333 0.667 0.167
6 Sn 0.667 0.333 0.833
7 F 0.000 0.000 0.076
8 F 0.000 0.000 0.924
9 F 0.333 0.667 0.590
10 F 0.333 0.667 0.743
11 F 0.667 0.333 0.257
12 F 0.667 0.333 0.410

Raw formation energy in kJ/mol of atoms: -181
VASP energy in eV per atom: -4.40
Size of the total moment in μB per atom: 0.0000

=====

No. 10
# CdCo2As

A relaxed CdCo2As crystal (PBEsol, the Alexandria database).

Cell lengths 2.810, 2.810, 26.023 Å; angles 90.00, 90.00, 120.00 degrees
Fractional coordinates of all 12 atoms:
1 Cd 0.000 0.000 0.000
2 Cd 0.333 0.667 0.667
3 Cd 0.667 0.333 0.333
4 Co 0.000 0.000 0.488
5 Co 0.000 0.000 0.753
6 Co 0.333 0.667 0.154
7 Co 0.333 0.667 0.419
8 Co 0.667 0.333 0.086
9 Co 0.667 0.333 0.821
10 As 0.000 0.000 0.222
11 As 0.333 0.667 0.888
12 As 0.667 0.333 0.555

VASP energy in eV per atom: -5.19
Size of the total moment in μB per atom: 0.7278
Energy of formation in kJ/mol of formula units: 99

=====

No. 11
# Zr3TiIr

A relaxed Zr3TiIr crystal (PBEsol, the Alexandria database).

Cell lengths 4.986, 4.986, 4.986 Å; angles 90.00, 90.00, 90.00 degrees
Fractional coordinates of all 5 atoms:
1 Zr 0.000 0.000 0.500
2 Zr 0.000 0.500 0.000
3 Zr 0.500 0.000 0.000
4 Ti 0.500 0.500 0.500
5 Ir 0.000 0.000 0.000

VASP energy in eV per atom: -8.66
Size of the total moment in μB per atom: 0.3317
Energy of formation in kJ/mol of formula units: 205

=====

No. 12
# MoRuNF2

A relaxed MoRuNF2 crystal (PBEsol, the Alexandria database).

Cell lengths 4.208, 4.208, 3.715 Å; angles 90.00, 90.00, 90.00 degrees
Fractional coordinates of all 5 atoms:
1 Mo 0.000 0.000 0.000
2 Ru 0.500 0.500 0.500
3 N 0.500 0.500 0.000
4 F 0.000 0.500 0.500
5 F 0.500 0.000 0.500

Raw formation energy in kJ/mol of atoms: 25
VASP energy in eV per atom: -6.61
Size of the total moment in μB per atom: 0.8816